(a)
Entry from Alexandria: crystalline AcLa2Pm at its relaxed geometry (GGA-PBE).

a b c (Å): 12.5210 12.5210 12.5210
angles (deg): 17.46 17.46 17.46
Last column: nearest neighbours and their distance in Å.
Fractional positions:
Ac 0.0000 0.0000 0.0000  6 Ac 3.80, 6 La 3.85-3.89
La 0.2463 0.2463 0.2463  3 Pm 3.70, 6 La 3.80, 3 Ac 3.89
La 0.4190 0.4190 0.4190  3 Pm 3.69, 6 La 3.80, 3 Ac 3.85
Pm 0.8325 0.8325 0.8325  6 La 3.69-3.70, 6 Pm 3.80

## Properties
Its symmetry is R3m (160).

=====

(b)
Entry from Alexandria: crystalline AcLa2Pm at its relaxed geometry (GGA-PBE).

a b c (Å): 4.3987 4.3987 7.8882
angles (deg): 90.00 90.00 90.00
Last column: nearest neighbours and their distance in Å.
Fractional positions:
Ac 0.0000 0.0000 0.0000  8 La 3.82, 2 Pm 3.94
La 0.5000 0.5000 0.2809  1 La 3.46, 4 Pm 3.56, 4 Ac 3.82
La 0.5000 0.5000 0.7191  1 La 3.46, 4 Pm 3.56, 4 Ac 3.82
Pm 0.0000 0.0000 0.5000  8 La 3.56, 2 Ac 3.94

## Properties
Its symmetry is P4/mmm (123).

=====

(c)
Entry from Alexandria: crystalline AcLa2Pm at its relaxed geometry (GGA-PBE).

a b c (Å): 6.0348 6.0348 6.0348
angles (deg): 60.00 60.00 60.00
Last column: nearest neighbours and their distance in Å.
Fractional positions:
Ac 0.0000 0.0000 0.0000  8 La 3.70
La 0.2500 0.2500 0.2500  4 Ac 3.70, 4 Pm 3.70
La 0.7500 0.7500 0.7500  4 Ac 3.70, 4 Pm 3.70
Pm 0.5000 0.5000 0.5000  8 La 3.70

## Properties
Its symmetry is Fm-3m (225).

=====

Least stable structure: (c)

=====

(a)
Entry from Alexandria: crystalline AcLa2Pm at its relaxed geometry (GGA-PBE).

a b c (Å): 12.5042 12.5042 12.5042
angles (deg): 17.46 17.46 17.46
Last column: nearest neighbours and their distance in Å.
Fractional positions:
Ac 0.0000 0.0000 0.0000  6 Ac 3.80, 6 La 3.86
La 0.2472 0.2472 0.2472  3 Pm 3.70, 6 La 3.80, 3 Ac 3.86
La 0.7528 0.7528 0.7528  3 Pm 3.70, 6 La 3.80, 3 Ac 3.86
Pm 0.5000 0.5000 0.5000  6 La 3.70, 6 Pm 3.80

## Properties
Its symmetry is R-3m (166).

=====

(b)
Entry from Alexandria: crystalline AcLa2Pm at its relaxed geometry (GGA-PBE).

a b c (Å): 5.3161 5.3161 5.3530
angles (deg): 90.00 90.00 90.00
Last column: nearest neighbours and their distance in Å.
Fractional positions:
Ac 0.0000 0.0000 0.0000  4 Pm 3.76, 8 La 3.77
La 0.0000 0.5000 0.5000  4 La 3.76, 4 Ac 3.77, 4 Pm 3.77
La 0.5000 0.0000 0.5000  4 La 3.76, 4 Ac 3.77, 4 Pm 3.77
Pm 0.5000 0.5000 0.0000  4 Ac 3.76, 8 La 3.77

## Properties
Its symmetry is P4/mmm (123).

=====

Least stable structure: (a)